Computed, not measured: a geometry-optimized Y2TiAlO structure at the PBE level of DFT.

Summary:
uncorrected formation energy = -124 kJ per mole of atoms
E_tot = -0.264 Ha/atom

a b c (Å): 4.8319 4.8319 4.0724
angles (deg): 90.00 90.00 90.00
Each line ends with the local moment (μB).
Fractional positions:
1 O 0.0000 0.0000 0.0000  -0.02
2 Y 0.0000 0.5000 0.0000  0.03
3 Y 0.5000 0.0000 0.0000  0.03
4 Ti 0.0000 0.0000 0.5000  0.57
5 Al 0.5000 0.5000 0.5000  -0.02